1.
A plane-wave DFT calculation with GGA-PBEsol was carried out for crystalline Mg2BeSi at its relaxed geometry.

## Properties
relative energy among the computed polymorphs = 0.1315 eV/atom

Geometry as CIF:
```
data_Mg2BeSi
_space_group_name_H-M_alt 'R -3 m'
_space_group_IT_number 166
_space_group_name_Hall '-R 3 2"'
_cell_length_a 2.9827
_cell_length_b 2.9827
_cell_length_c 25.6242
_cell_angle_alpha 90.00
_cell_angle_beta 90.00
_cell_angle_gamma 120.00
loop_
_atom_site_label
_atom_site_type_symbol
_atom_site_fract_x
_atom_site_fract_y
_atom_site_fract_z
_atom_site_occupancy
Mg1 Mg 0.0000 0.0000 0.2467 1
Be1 Be 0.0000 0.0000 0.5000 1
Si1 Si 0.0000 0.0000 0.0000 1
```

=====

2.
A plane-wave DFT calculation with GGA-PBEsol was carried out for crystalline Mg2BeSi at its relaxed geometry.

## Properties
relative energy among the computed polymorphs = 0.1376 eV/atom

Geometry as CIF:
```
data_Mg2BeSi
_space_group_name_H-M_alt 'C 1 2/m 1'
_space_group_IT_number 12
_cell_length_a 8.839
_cell_length_b 2.989
_cell_length_c 5.085
_cell_angle_alpha 90.00
_cell_angle_beta 101.49
_cell_angle_gamma 90.00
loop_
_space_group_symop_operation_xyz
'x,y,z'
'-x,-y,-z'
'-x,y,-z'
'x,-y,z'
'x+1/2,y+1/2,z'
'-x+1/2,-y+1/2,-z'
'-x+1/2,y+1/2,-z'
'x+1/2,-y+1/2,z'
loop_
_atom_site_label
_atom_site_type_symbol
_atom_site_fract_x
_atom_site_fract_y
_atom_site_fract_z
_atom_site_occupancy
Mg1 Mg 0.246 0.000 0.240 1
Be1 Be 0.000 0.500 0.000 1
Si1 Si 0.000 0.000 0.500 1
```

=====

3.
A plane-wave DFT calculation with GGA-PBEsol was carried out for crystalline MgBe2Si at its relaxed geometry.

Geometry as CIF:
```
data_MgBe2Si
_space_group_name_H-M_alt 'I 4/m m m'
_space_group_IT_number 139
_space_group_name_Hall '-I 4 2'
_cell_length_a 3.755
_cell_length_b 3.755
_cell_length_c 7.173
_cell_angle_alpha 90.00
_cell_angle_beta 90.00
_cell_angle_gamma 90.00
loop_
_atom_site_label
_atom_site_type_symbol
_atom_site_fract_x
_atom_site_fract_y
_atom_site_fract_z
_atom_site_occupancy
Mg1 Mg 0.000 0.000 0.000 1
Be1 Be 0.000 0.500 0.250 1
Si1 Si 0.000 0.000 0.500 1
```

=====

4.
A plane-wave DFT calculation with GGA-PBEsol was carried out for crystalline Mg2BeSi at its relaxed geometry.

## Properties
relative energy among the computed polymorphs = 0.0000 eV/atom

Geometry as CIF:
```
data_Mg2BeSi
_space_group_name_H-M_alt 'C 1 m 1'
_space_group_IT_number 8
_cell_length_a 10.047
_cell_length_b 2.811
_cell_length_c 4.808
_cell_angle_alpha 90.00
_cell_angle_beta 107.93
_cell_angle_gamma 90.00
loop_
_space_group_symop_operation_xyz
'x,y,z'
'x,-y,z'
'x+1/2,y+1/2,z'
'x+1/2,-y+1/2,z'
loop_
_atom_site_label
_atom_site_type_symbol
_atom_site_fract_x
_atom_site_fract_y
_atom_site_fract_z
_atom_site_occupancy
Mg1 Mg 0.000 0.000 0.000 1
Mg2 Mg 0.204 0.000 0.647 1
Be1 Be 0.256 0.500 0.160 1
Si1 Si 0.436 0.000 0.457 1
```

=====

5.
A plane-wave DFT calculation with GGA-PBEsol was carried out for crystalline Mg2TiBeSi at its relaxed geometry.

Geometry as CIF:
```
data_Mg2TiBeSi
_space_group_name_H-M_alt 'P 4/m m m'
_space_group_IT_number 123
_space_group_name_Hall '-P 4 2'
_cell_length_a 4.769
_cell_length_b 4.769
_cell_length_c 4.732
_cell_angle_alpha 90.00
_cell_angle_beta 90.00
_cell_angle_gamma 90.00
loop_
_atom_site_label
_atom_site_type_symbol
_atom_site_fract_x
_atom_site_fract_y
_atom_site_fract_z
_atom_site_occupancy
Mg1 Mg 0.000 0.500 0.000 1
Ti1 Ti 0.000 0.000 0.500 1
Be1 Be 0.500 0.500 0.500 1
Si1 Si 0.000 0.000 0.000 1
```

=====

6.
A plane-wave DFT calculation with GGA-PBEsol was carried out for crystalline YMgBeSi2 at its relaxed geometry.

Geometry as CIF:
```
data_YMgBeSi2
_space_group_name_H-M_alt 'P 4/m m m'
_space_group_IT_number 123
_space_group_name_Hall '-P 4 2'
_cell_length_a 4.694
_cell_length_b 4.694
_cell_length_c 5.370
_cell_angle_alpha 90.00
_cell_angle_beta 90.00
_cell_angle_gamma 90.00
loop_
_atom_site_label
_atom_site_type_symbol
_atom_site_fract_x
_atom_site_fract_y
_atom_site_fract_z
_atom_site_occupancy
Y1 Y 0.000 0.000 0.000 1
Mg1 Mg 0.000 0.000 0.500 1
Be1 Be 0.500 0.500 0.000 1
Si1 Si 0.000 0.500 0.500 1
```

=====

Number 1: Fermi-level density of states 1.5 states/eV/f.u., total energy -35.6 eV for the cell shown, uncorrected formation energy 0.33 eV per atom. Number 2: Fermi-level density of states 1.9 states/eV/f.u., total energy -23.7 eV for the cell shown, uncorrected formation energy 0.33 eV per atom. Number 3: Fermi-level density of states 1.1 states/eV/f.u., total energy -28.1 eV for the cell shown, uncorrected formation energy 0.35 eV per atom. Number 4: Fermi-level density of states 1.4 states/eV/f.u., total energy -24.8 eV for the cell shown, uncorrected formation energy 0.20 eV per atom. Number 5: Fermi-level density of states 3.2 states/eV/f.u., total energy -18.0 eV for the cell shown, uncorrected formation energy 0.70 eV per atom. Number 6: Fermi-level density of states 2.4 states/eV/f.u., total energy -18.2 eV for the cell shown, uncorrected formation energy 1.17 eV per atom.